No. 1
TcNiAu3 after structural relaxation, computed with PBE.

Cell lengths 4.9797, 4.9797, 4.9797 Å; angles 90.00, 90.00, 90.00 degrees
With the nearest neighbours (Å) after each atom.
Element x y z (fractional)
Au  0.0000  0.5000  0.0000  2 Tc 2.49
Au  0.0000  0.0000  0.5000  2 Tc 2.49
Au  0.5000  0.0000  0.0000  2 Tc 2.49
Ni  0.5000  0.5000  0.5000  12 Au 3.52
Tc  0.0000  0.0000  0.0000  6 Au 2.49

- DOS(E_F) (states/eV/f.u.) = 11.678
- uncorrected energy (eV per atom) = -3.586

---

No. 2
Tc2NiAu after structural relaxation, computed with PBE.

Cell lengths 4.6989, 4.6989, 4.8745 Å; angles 81.35, 81.35, 33.25 degrees
With the nearest neighbours (Å) after each atom.
Element x y z (fractional)
Au  0.5041  0.5041  0.4826  3 Ni 2.68-2.73, 2 Au 2.69, 7 Tc 2.76-2.84
Ni  0.2555  0.2555  0.2448  7 Tc 2.63-2.93, 3 Au 2.68-2.73, 2 Ni 2.69
Tc  0.7508  0.7508  0.7798  5 Tc 2.53-2.77, 2 Ni 2.64
Tc  0.9895  0.9895  0.9928  5 Tc 2.53-2.77, 2 Ni 2.63, 4 Au 2.76-2.81

- DOS(E_F) (states/eV/f.u.) = 4.538
- uncorrected energy (eV per atom) = -7.226

---

No. 3
Tc2NiAu after structural relaxation, computed with PBE.

Cell lengths 4.8220, 4.8220, 4.6365 Å; angles 79.78, 79.78, 33.15 degrees
With the nearest neighbours (Å) after each atom.
Element x y z (fractional)
Tc  0.9934  0.9934  0.0185  6 Tc 2.57-2.83, 3 Ni 2.69-2.78, 3 Au 2.77-2.82
Tc  0.5066  0.5066  0.4815  6 Tc 2.57-2.83, 3 Ni 2.69-2.78, 3 Au 2.77-2.82
Au  0.7500  0.7500  0.7500  4 Ni 2.70, 2 Au 2.75, 6 Tc 2.77-2.82
Ni  0.2500  0.2500  0.2500  6 Tc 2.69-2.78, 4 Au 2.70, 2 Ni 2.75

- DOS(E_F) (states/eV/f.u.) = 3.722
- uncorrected energy (eV per atom) = -7.198

---

No. 4
Tc2NiAu after structural relaxation, computed with PBE.

Cell lengths 5.8786, 4.8899, 2.6898 Å; angles 90.01, 62.75, 118.37 degrees
With the nearest neighbours (Å) after each atom.
Element x y z (fractional)
Tc  0.5000  0.0000  0.5000  4 Tc 2.61-2.69, 4 Ni 2.79, 4 Au 2.79
Tc  0.0000  0.0000  0.0000  4 Tc 2.61-2.69, 4 Au 2.79, 4 Ni 2.79
Au  0.0000  0.5000  0.5000  2 Ni 2.61, 2 Au 2.69, 8 Tc 2.79
Ni  0.5000  0.5000  0.0000  2 Au 2.61, 2 Ni 2.69, 8 Tc 2.79

- DOS(E_F) (states/eV/f.u.) = 5.751
- uncorrected energy (eV per atom) = -7.138

---

No. 5
Tc2NiAu after structural relaxation, computed with PBE.

Cell lengths 9.1502, 9.1502, 9.1502 Å; angles 17.19, 17.19, 17.19 degrees
With the nearest neighbours (Å) after each atom.
Element x y z (fractional)
Tc  0.0073  0.0073  0.0073  3 Ni 2.59, 6 Tc 2.73
Tc  0.4927  0.4927  0.4927  3 Ni 2.59, 6 Tc 2.73
Au  0.2500  0.2500  0.2500  6 Au 2.73, 6 Tc 2.92
Ni  0.7500  0.7500  0.7500  6 Tc 2.59, 6 Ni 2.73

- DOS(E_F) (states/eV/f.u.) = 5.530
- uncorrected energy (eV per atom) = -7.126

---

No. 6
Tc2NiAu after structural relaxation, computed with PBE.

Cell lengths 4.3685, 4.3685, 4.3685 Å; angles 60.00, 60.00, 60.00 degrees
With the nearest neighbours (Å) after each atom.
Element x y z (fractional)
Au  0.5000  0.5000  0.5000  4 Tc 2.68, 4 Ni 2.68
Tc  0.7500  0.7500  0.7500  4 Tc 2.68, 4 Au 2.68
Tc  0.0000  0.0000  0.0000  4 Tc 2.68, 4 Ni 2.68
Ni  0.2500  0.2500  0.2500  4 Tc 2.68, 4 Au 2.68

- DOS(E_F) (states/eV/f.u.) = 5.511
- uncorrected energy (eV per atom) = -7.032

---

No. 7
TcNiAu after structural relaxation, computed with PBE.

Cell lengths 5.4784, 2.7770, 11.8866 Å; angles 90.00, 103.69, 90.00 degrees
With the nearest neighbours (Å) after each atom.
Element x y z (fractional)
Tc  0.4001  0.0000  0.3142  4 Tc 2.50-2.78, 3 Ni 2.51-2.64
Tc  0.5999  0.5000  0.1858  4 Tc 2.50-2.78, 3 Ni 2.51-2.64
Tc  0.5999  0.0000  0.6858  4 Tc 2.50-2.78, 3 Ni 2.51-2.64
Tc  0.4001  0.5000  0.8142  4 Tc 2.50-2.78, 3 Ni 2.51-2.64
Ni  0.0774  0.0000  0.6781  4 Ni 2.50-2.78, 3 Tc 2.51-2.64
Ni  0.0774  0.5000  0.1781  4 Ni 2.50-2.78, 3 Tc 2.51-2.64
Ni  0.9226  0.0000  0.3219  4 Ni 2.50-2.78, 3 Tc 2.51-2.64
Ni  0.9226  0.5000  0.8219  4 Ni 2.50-2.78, 3 Tc 2.51-2.64
Au  0.2496  0.0000  0.0035  4 Au 2.72-2.78, 4 Ni 2.82-2.84, 4 Tc 2.89-2.92
Au  0.7504  0.0000  0.9965  4 Au 2.72-2.78, 4 Ni 2.82-2.84, 4 Tc 2.89-2.92
Au  0.2496  0.5000  0.5035  4 Au 2.72-2.78, 4 Ni 2.82-2.84, 4 Tc 2.89-2.92
Au  0.7504  0.5000  0.4965  4 Au 2.72-2.78, 4 Ni 2.82-2.84, 4 Tc 2.89-2.92

- DOS(E_F) (states/eV/f.u.) = 2.986
- uncorrected energy (eV per atom) = -6.314

---

No. 8
TcNiAu after structural relaxation, computed with PBE.

Cell lengths 2.7787, 3.7207, 8.5433 Å; angles 90.00, 90.49, 90.00 degrees
With the nearest neighbours (Å) after each atom.
Element x y z (fractional)
Tc  0.1999  0.7500  0.0719  4 Tc 2.49-2.78, 5 Ni 2.58-2.74
Tc  0.8001  0.2500  0.9281  4 Tc 2.49-2.78, 5 Ni 2.58-2.74
Au  0.2515  0.7500  0.3976  4 Ni 2.72-2.74, 6 Au 2.78-2.92, 1 Tc 2.79
Au  0.7485  0.2500  0.6024  4 Ni 2.72-2.74, 6 Au 2.78-2.92, 1 Tc 2.79
Ni  0.7417  0.2500  0.2293  5 Tc 2.58-2.74, 4 Au 2.72-2.74, 2 Ni 2.78
Ni  0.2583  0.7500  0.7707  5 Tc 2.58-2.74, 4 Au 2.72-2.74, 2 Ni 2.78

- DOS(E_F) (states/eV/f.u.) = 2.421
- uncorrected energy (eV per atom) = -6.380

---

No. 9
Tc2NiAu after structural relaxation, computed with PBE.

Cell lengths 5.4194, 5.4194, 6.8091 Å; angles 66.55, 66.55, 90.00 degrees
With the nearest neighbours (Å) after each atom.
Element x y z (fractional)
Au  0.7500  0.2500  0.5000  4 Tc 2.51
Au  0.0000  0.0000  0.0000  4 Tc 2.51
Ni  0.5000  0.5000  0.0000  4 Tc 2.26
Ni  0.2500  0.7500  0.5000  4 Tc 2.26
Tc  0.5843  0.1250  0.2500  2 Ni 2.26, 2 Au 2.51
Tc  0.8750  0.8343  0.7500  2 Ni 2.26, 2 Au 2.51
Tc  0.1657  0.6250  0.2500  2 Ni 2.26, 2 Au 2.51
Tc  0.3750  0.4157  0.7500  2 Ni 2.26, 2 Au 2.51

- DOS(E_F) (states/eV/f.u.) = 2.077
- uncorrected energy (eV per atom) = -5.904

---

No. 10
Tc2NiAu after structural relaxation, computed with PBE.

Cell lengths 3.7276, 3.7286, 4.1454 Å; angles 90.00, 90.00, 90.00 degrees
With the nearest neighbours (Å) after each atom.
Element x y z (fractional)
Au  0.5000  0.0000  0.5000  4 Ni 2.64, 8 Tc 2.79
Tc  0.0000  0.0000  0.0000  4 Tc 2.64, 4 Au 2.79, 4 Ni 2.79
Tc  0.5000  0.5000  0.0000  4 Tc 2.64, 4 Ni 2.79, 4 Au 2.79
Ni  0.0000  0.5000  0.5000  4 Au 2.64, 8 Tc 2.79

- DOS(E_F) (states/eV/f.u.) = 5.186
- uncorrected energy (eV per atom) = -7.202

---

No. 11
TcNiAu after structural relaxation, computed with PBE.

Cell lengths 6.1281, 6.1284, 2.7339 Å; angles 77.11, 77.12, 25.78 degrees
With the nearest neighbours (Å) after each atom.
Element x y z (fractional)
Au  0.9947  0.9947  0.0053  4 Au 2.73, 4 Ni 2.78, 4 Tc 2.92
Ni  0.3226  0.3226  0.6774  4 Tc 2.53, 4 Ni 2.73, 4 Au 2.78
Tc  0.6827  0.6827  0.3173  4 Ni 2.53, 4 Tc 2.73

- DOS(E_F) (states/eV/f.u.) = 3.001
- uncorrected energy (eV per atom) = -6.305

---

No. 12
TcNiAu after structural relaxation, computed with PBE.

Cell lengths 2.7875, 4.6231, 7.1279 Å; angles 71.29, 89.91, 89.81 degrees
With the nearest neighbours (Å) after each atom.
Element x y z (fractional)
Au  0.5058  0.9875  0.6863  6 Ni 2.71-2.76, 3 Au 2.79-3.02, 3 Tc 2.83-2.90
Au  0.5062  0.3378  0.9791  6 Ni 2.70-2.76, 3 Au 2.79-3.02, 3 Tc 2.83-2.90
Tc  0.5358  0.8290  0.3329  4 Ni 2.53-2.59, 6 Tc 2.61-2.80
Tc  0.9797  0.3255  0.3325  2 Ni 2.54, 6 Tc 2.61-2.80, 2 Au 2.83
Ni  0.0180  0.5155  0.6299  3 Tc 2.53-2.59, 6 Au 2.71-2.76, 2 Ni 2.79
Ni  0.0178  0.8093  0.0356  3 Tc 2.53-2.59, 6 Au 2.70-2.76, 2 Ni 2.79

- DOS(E_F) (states/eV/f.u.) = 3.135
- uncorrected energy (eV per atom) = -6.313